(1)
{"formula": "Pr9C2I14", "functional": "PBE", "state": "relaxed", "lattice": [[9.322, 0.000, 0.000], [-4.661, 8.073, 0.000], [0.000, 0.000, 12.326]], "species": ["Pr", "Pr", "Pr", "Pr", "Pr", "Pr", "Pr", "Pr", "Pr", "C", "C", "I", "I", "I", "I", "I", "I", "I", "I", "I", "I", "I", "I", "I", "I"], "frac_coords": [[0.284, 0.881, 0.332], [0.119, 0.402, 0.332], [0.333, 0.667, 0.078], [0.000, 0.000, 0.000], [0.402, 0.284, 0.668], [0.598, 0.716, 0.332], [0.667, 0.333, 0.922], [0.881, 0.598, 0.668], [0.716, 0.119, 0.668], [0.333, 0.667, 0.281], [0.667, 0.333, 0.719], [0.045, 0.678, 0.906], [0.319, 0.909, 0.604], [0.091, 0.410, 0.604], [0.000, 0.000, 0.271], [0.000, 0.000, 0.729], [0.322, 0.368, 0.906], [0.632, 0.955, 0.906], [0.410, 0.319, 0.396], [0.590, 0.681, 0.604], [0.368, 0.045, 0.094], [0.678, 0.632, 0.094], [0.909, 0.590, 0.396], [0.681, 0.091, 0.396], [0.955, 0.322, 0.094]], "e_form_raw_ev_per_atom": -1.0456, "spacegroup": "P-3 (147)", "volume_a3_per_atom": 37.11}

(2)
{"formula": "Pm2Tm2S3", "functional": "PBE", "state": "relaxed", "lattice": [[-1.390, -2.675, 2.499], [5.930, -2.420, -2.361], [1.987, 3.801, 5.171]], "species": ["Pm", "Pm", "Tm", "Tm", "S", "S", "S"], "frac_coords": [[0.623, 0.245, 0.859], [0.377, 0.755, 0.141], [0.873, 0.745, 0.630], [0.127, 0.255, 0.370], [0.000, 0.000, 0.000], [0.745, 0.489, 0.259], [0.255, 0.511, 0.741]], "e_form_raw_ev_per_atom": -1.6925, "spacegroup": "C2/m (12)", "volume_a3_per_atom": 23.98}

(3)
{"formula": "NaPRuAu", "functional": "PBE", "state": "relaxed", "lattice": [[-3.167, 1.984, -1.261], [-0.978, -3.036, -2.320], [-5.590, -4.054, 7.662]], "species": ["Na", "Na", "P", "P", "Ru", "Ru", "Au", "Au"], "frac_coords": [[0.750, 0.750, 0.261], [0.250, 0.250, 0.739], [0.750, 0.750, 0.881], [0.250, 0.250, 0.119], [0.750, 0.250, 0.000], [0.250, 0.750, 0.000], [0.250, 0.750, 0.500], [0.750, 0.250, 0.500]], "delta_e_f_ev_per_atom": -0.4308, "spacegroup": "P4/nmm (129)", "volume_a3_per_atom": 20.06}

(4)
{"formula": "SmTm12Sn6", "functional": "PBE", "state": "relaxed", "lattice": [[-2.334, -4.640, 7.289], [-0.848, -5.051, -7.340], [8.383, 3.041, 0.766]], "species": ["Sm", "Tm", "Tm", "Tm", "Tm", "Tm", "Tm", "Tm", "Tm", "Tm", "Tm", "Tm", "Tm", "Sn", "Sn", "Sn", "Sn", "Sn", "Sn"], "frac_coords": [[0.000, 0.000, 0.000], [0.796, 0.668, 0.529], [0.529, 0.796, 0.668], [0.668, 0.529, 0.796], [0.204, 0.332, 0.471], [0.471, 0.204, 0.332], [0.332, 0.471, 0.204], [0.909, 0.813, 0.271], [0.187, 0.729, 0.091], [0.729, 0.091, 0.187], [0.091, 0.187, 0.729], [0.813, 0.271, 0.909], [0.271, 0.909, 0.813], [0.640, 0.923, 0.424], [0.576, 0.360, 0.077], [0.077, 0.576, 0.360], [0.360, 0.077, 0.576], [0.424, 0.640, 0.923], [0.923, 0.424, 0.640]], "delta_e_f_ev_per_atom": -0.3684, "spacegroup": "R-3 (148)", "volume_a3_per_atom": 27.85}

(5)
{"formula": "Rb6I2OF", "functional": "PBE", "state": "relaxed", "lattice": [[-4.459, -0.036, 6.874], [2.795, -3.842, 6.676], [5.824, 10.648, 8.718]], "species": ["Rb", "Rb", "Rb", "Rb", "Rb", "Rb", "Rb", "Rb", "Rb", "Rb", "Rb", "Rb", "I", "I", "I", "I", "O", "O", "F", "F"], "frac_coords": [[0.840, 0.392, 0.376], [0.392, 0.840, 0.376], [0.392, 0.392, 0.376], [0.160, 0.608, 0.624], [0.608, 0.160, 0.624], [0.608, 0.608, 0.624], [0.718, 0.199, 0.885], [0.199, 0.718, 0.885], [0.199, 0.199, 0.885], [0.282, 0.801, 0.115], [0.801, 0.282, 0.115], [0.801, 0.801, 0.115], [0.889, 0.889, 0.333], [0.111, 0.111, 0.667], [0.700, 0.700, 0.901], [0.300, 0.300, 0.099], [0.000, 0.000, 0.000], [0.500, 0.500, 0.500], [0.588, 0.588, 0.235], [0.412, 0.412, 0.765]], "e_form_raw_ev_per_atom": -1.3795, "spacegroup": "R-3m (166)", "volume_a3_per_atom": 41.21}

(6)
{"formula": "Si2OsPb", "functional": "PBE", "state": "relaxed", "lattice": [[6.304, 0.002, 0.006], [-2.347, 4.109, -0.001], [1.609, 0.984, 2.671]], "species": ["Os", "Pb", "Si", "Si"], "frac_coords": [[0.000, 0.500, 0.500], [0.500, 0.500, 0.000], [0.000, 0.000, 0.000], [0.500, 0.000, 0.500]], "e_form_raw_ev_per_atom": 0.8555, "spacegroup": "C2/m (12)", "volume_a3_per_atom": 17.28}

(7)
{"formula": "Co4TcRh", "functional": "PBE", "state": "relaxed", "lattice": [[-0.516, -4.648, 0.139], [-4.200, -1.862, 0.887], [-2.351, -2.196, -3.398]], "species": ["Co", "Co", "Co", "Co", "Tc", "Rh"], "frac_coords": [[0.375, 0.874, 0.375], [0.874, 0.375, 0.375], [0.375, 0.375, 0.874], [0.375, 0.375, 0.375], [0.000, 0.000, 0.000], [0.750, 0.750, 0.750]], "delta_e_f_ev_per_atom": 0.1117, "spacegroup": "F-43m (216)", "volume_a3_per_atom": 12.07}

(8)
{"formula": "SmDy2ErSe5", "functional": "PBE", "state": "relaxed", "lattice": [[-0.593, -4.787, 1.666], [-0.048, -1.672, -4.821], [10.793, -1.226, 0.318]], "species": ["Sm", "Dy", "Dy", "Er", "Se", "Se", "Se", "Se", "Se"], "frac_coords": [[0.000, 0.000, 0.000], [0.500, 0.500, 0.343], [0.500, 0.500, 0.657], [0.000, 0.000, 0.500], [0.000, 0.500, 0.500], [0.500, 0.000, 0.500], [0.000, 0.000, 0.750], [0.000, 0.000, 0.250], [0.500, 0.500, 0.000]], "e_form_raw_ev_per_atom": -1.1413, "spacegroup": "P4/mmm (123)", "volume_a3_per_atom": 31.44}

(9)
{"formula": "ThTc4C2", "functional": "PBE", "state": "relaxed", "lattice": [[3.919, 0.000, 0.000], [0.000, 3.960, 0.000], [0.000, -1.980, 6.790]], "species": ["Th", "Tc", "Tc", "Tc", "Tc", "C", "C"], "frac_coords": [[0.000, 0.000, 0.000], [0.500, 0.823, 0.645], [0.000, 0.684, 0.367], [0.500, 0.177, 0.355], [0.000, 0.316, 0.633], [0.500, 0.626, 0.253], [0.500, 0.374, 0.747]], "delta_e_f_ev_per_atom": 0.0354, "spacegroup": "Cmmm (65)", "volume_a3_per_atom": 15.05}

(10)
{"formula": "Ac2ThCu", "functional": "PBE", "state": "relaxed", "lattice": [[3.794, 0.000, 0.000], [0.000, 3.794, 0.000], [0.000, 0.000, 9.045]], "species": ["Ac", "Ac", "Cu", "Th"], "frac_coords": [[0.000, 0.000, 0.788], [0.000, 0.000, 0.212], [0.500, 0.500, 0.000], [0.500, 0.500, 0.500]], "polymorph_energy_mev_per_atom": 0, "delta_e_f_ev_per_atom": 0.0373, "spacegroup": "P4/mmm (123)", "volume_a3_per_atom": 32.55}

(11)
{"formula": "AcAgSnGe", "functional": "PBE", "state": "relaxed", "lattice": [[-2.002, -2.153, -4.395], [2.658, -3.811, -2.525], [-1.798, -4.972, 0.074]], "species": ["Ac", "Ge", "Sn", "Ag"], "frac_coords": [[0.500, 0.500, 0.500], [0.250, 0.250, 0.250], [0.000, 0.000, 0.000], [0.750, 0.750, 0.750]], "delta_e_f_ev_per_atom": -0.2613, "spacegroup": "F-43m (216)", "volume_a3_per_atom": 26.14}

(12)
{"formula": "Y3Cu2Ni7", "functional": "PBE", "state": "relaxed", "lattice": [[5.022, 0.000, 0.000], [2.511, 4.349, 0.000], [2.511, 1.450, 8.117]], "species": ["Y", "Y", "Y", "Cu", "Cu", "Ni", "Ni", "Ni", "Ni", "Ni", "Ni", "Ni"], "frac_coords": [[0.000, 0.000, 0.000], [0.861, 0.861, 0.418], [0.139, 0.139, 0.582], [0.666, 0.666, 0.001], [0.334, 0.334, 0.999], [0.500, 0.500, 0.500], [0.918, 0.416, 0.249], [0.416, 0.918, 0.249], [0.416, 0.416, 0.249], [0.082, 0.584, 0.751], [0.584, 0.584, 0.751], [0.584, 0.082, 0.751]], "delta_e_f_ev_per_atom": -0.3811, "spacegroup": "R-3m (166)", "volume_a3_per_atom": 14.77}

It is found that the total magnetic moment values, taken in the order of the records, are 0.02 0.00 0.00 0.00 0.00 0.00 1.03 0.00 0.00 0.00 0.00 0.00 μB/atom.